Record 1
{
  "formula": "CsLiAcF6",
  "functional": "PBE",
  "state": "optimized geometry",
  "n_ef_per_ev_cell": 2.961,
  "crystal_system": "orthorhombic",
  "e_tot_ha_per_atom": -0.1873,
  "sg": "Imma, No. 74",
  "lattice": [[-0.4744, 7.6313, -3.2580], [-6.4446, 1.5276, 4.5166], [6.3453, -2.8866, 2.9158]],
  "species": ["F", "Cs", "Li", "Ac", "F", "Li", "Ac", "F", "F", "F", "F", "F", "F", "F", "F", "F", "Cs", "F"],
  "fractional_positions": [[0.8253, 0.6026, 0.2513], [0.1815, 0.4315, 0.3630], [0.5000, 0.5000, 0.0000], [0.0000, 0.0000, 0.5000], [0.5740, 0.3974, 0.7487], [0.5000, 0.0000, 0.0000], [0.5000, 0.0000, 0.5000], [0.4260, 0.1487, 0.2513], [0.8837, 0.1337, 0.7674], [0.5927, 0.8427, 0.1854], [0.1163, 0.8663, 0.2326], [0.5740, 0.8513, 0.7487], [0.4260, 0.6026, 0.2513], [0.1747, 0.3974, 0.7487], [0.4073, 0.1573, 0.8146], [0.1747, 0.8513, 0.7487], [0.8185, 0.5685, 0.6370], [0.8253, 0.1487, 0.2513]]
}

=====

Record 2
{
  "formula": "CsAcMgF6",
  "functional": "PBE",
  "state": "optimized geometry",
  "n_ef_per_ev_cell": 0.000,
  "crystal_system": "orthorhombic",
  "e_tot_ha_per_atom": -0.2063,
  "sg": "Imma, No. 74",
  "lattice": [[-0.3323, -0.1596, 8.3911], [1.9773, -7.4303, -0.0630], [4.2155, 5.1337, -3.9390]],
  "species": ["F", "F", "F", "Cs", "F", "F", "F", "Ac", "Mg", "F", "F", "Ac", "F", "F", "F", "F", "Cs", "Mg"],
  "fractional_positions": [[0.8058, 0.1517, 0.2654], [0.5403, 0.8483, 0.7346], [0.8058, 0.6137, 0.2654], [0.8340, 0.5840, 0.6680], [0.1942, 0.3863, 0.7346], [0.5403, 0.3863, 0.7346], [0.5653, 0.8153, 0.1307], [0.5000, 0.0000, 0.5000], [0.5000, 0.5000, 0.0000], [0.4597, 0.1517, 0.2654], [0.4597, 0.6137, 0.2654], [0.0000, 0.0000, 0.5000], [0.1290, 0.8790, 0.2580], [0.1942, 0.8483, 0.7346], [0.4347, 0.1847, 0.8693], [0.8710, 0.1210, 0.7420], [0.1660, 0.4160, 0.3320], [0.5000, 0.0000, 0.0000]]
}